This record from Alexandria describes a relaxed AcPr6Dy2Er crystal. The functional is GGA-PBE.

Magnetization   0.00 μB/cell
SG   C2/c, No. 15
Energy of formation   11 kJ/mol of atoms
Crystal system   monoclinic

Lattice parameters (Å, degrees): 9.8049 9.1151 9.1151 117.43 93.09 93.09
Closest atoms and distances in Å follow each position.
Element x y z (fractional)
1 Pr 0.3140 0.9943 0.4442  4 Pr 3.35-3.74, 2 Dy 3.51-3.70, 1 Er 3.53, 1 Ac 3.73
2 Pr 0.1171 0.7089 0.4904  3 Dy 3.34-3.52, 4 Pr 3.35-3.64, 2 Er 3.49-3.64
3 Dy 0.5477 0.2054 0.3129  6 Pr 3.34-3.70, 2 Ac 3.54-3.64, 1 Er 3.60
4 Dy 0.4523 0.7946 0.6871  6 Pr 3.34-3.70, 2 Ac 3.54-3.64, 1 Er 3.60
5 Pr 0.6860 0.0057 0.5558  4 Pr 3.35-3.74, 2 Dy 3.51-3.70, 1 Er 3.53, 1 Ac 3.73
6 Pr 0.9464 0.8771 0.2436  7 Pr 3.53-3.90, 1 Dy 3.64, 2 Ac 3.82-3.93
7 Ac 0.7500 0.0273 0.9727  4 Dy 3.54-3.64, 6 Pr 3.73-3.93
8 Dy 0.9523 0.6871 0.7946  6 Pr 3.34-3.70, 2 Ac 3.54-3.64, 1 Er 3.60
9 Pr 0.1860 0.5558 0.0057  4 Pr 3.35-3.74, 2 Dy 3.51-3.70, 1 Er 3.53, 1 Ac 3.73
10 Pr 0.5536 0.7564 0.1229  7 Pr 3.53-3.90, 1 Dy 3.64, 2 Ac 3.82-3.93
11 Ac 0.2500 0.9727 0.0273  4 Dy 3.54-3.64, 6 Pr 3.73-3.93
12 Pr 0.3829 0.5096 0.2911  3 Dy 3.34-3.52, 4 Pr 3.35-3.64, 2 Er 3.49-3.64
13 Pr 0.4464 0.2436 0.8771  7 Pr 3.53-3.90, 1 Dy 3.64, 2 Ac 3.82-3.93
14 Pr 0.6171 0.4904 0.7089  3 Dy 3.34-3.52, 4 Pr 3.35-3.64, 2 Er 3.49-3.64
15 Dy 0.0477 0.3129 0.2054  6 Pr 3.34-3.70, 2 Ac 3.54-3.64, 1 Er 3.60
16 Pr 0.8140 0.4442 0.9943  4 Pr 3.35-3.74, 2 Dy 3.51-3.70, 1 Er 3.53, 1 Ac 3.73
17 Er 0.2500 0.4132 0.5868  6 Pr 3.49-3.64, 2 Dy 3.60
18 Pr 0.8829 0.2911 0.5096  3 Dy 3.34-3.52, 4 Pr 3.35-3.64, 2 Er 3.49-3.64
19 Pr 0.0536 0.1229 0.7564  7 Pr 3.53-3.90, 1 Dy 3.64, 2 Ac 3.82-3.93
20 Er 0.7500 0.5868 0.4132  6 Pr 3.49-3.64, 2 Dy 3.60